Entry 1:
The following is a DFT calculation (GGA-PBE) of a relaxed structure of SmEr5Sc4.

Lattice parameters (Å, degrees): 9.7791 9.7791 6.1345 90.00 90.00 90.00
Space group I4 (No. 79)
Unique sites:
Sm: 0.0000 0.0000 0.0000
Er: 0.0000 0.0000 0.4555
Er: 0.1462 0.7557 0.7261
Sc: 0.0564 0.6420 0.2284



Entry 2:
The following is a DFT calculation (GGA-PBE) of a relaxed structure of SmEr2Sc7.

Lattice parameters (Å, degrees): 6.0237 27.1719 3.3239 90.00 90.00 90.00
Space group Cmmm (No. 65)
Unique sites:
Sm: 0.0000 0.0000 0.0000
Er: 0.0000 0.2888 0.5000
Sc: 0.0000 0.1830 0.0000
Sc: 0.0000 0.5000 0.5000
Sc: 0.2481 0.1000 0.5000



Entry 3:
The following is a DFT calculation (GGA-PBE) of a relaxed structure of Sm2Er8Sc.

Lattice parameters (Å, degrees): 15.2623 7.7730 6.1826 90.00 106.10 90.00
Space group C2/m (No. 12)
Unique sites:
Sm: 0.1192 0.0000 0.4887
Er: 0.0675 0.3042 0.7876
Er: 0.1437 0.5000 0.3182
Er: 0.2260 0.0000 0.0895
Sc: 0.0000 0.0000 0.0000



Formation enthalpy at 0 K (computed, eV per atom): 0.337; 0.158; 0.269
Energy (computed, eV/atom): -4.949; -5.659; -4.483
Density (computed, kg/m³): 6604; 4881; 7935